Record 1
Crystalline VNiSbMo2 at its relaxed geometry, computed with PBE.

It has space group P4/mmm (No. 123), with a = 4.5435 Å, b = 4.5435 Å, c = 4.5020 Å, α = 90.00°, β = 90.00° and γ = 90.00°. The inequivalent atoms are V at (0.0000, 0.0000, 0.0000), Ni at (0.5000, 0.5000, 0.5000), Sb at (0.5000, 0.5000, 0.0000) and Mo at (0.0000, 0.5000, 0.5000).

Its raw formation energy is 1.306 eV/atom.

=====

Record 2
Crystalline ZrNiSb2Mo at its relaxed geometry, computed with PBE.

It has space group P4/mmm (No. 123), with a = 5.1387 Å, b = 5.1387 Å, c = 4.9678 Å, α = 90.00°, β = 90.00° and γ = 90.00°. The inequivalent atoms are Zr at (0.0000, 0.0000, 0.0000), Ni at (0.5000, 0.5000, 0.0000), Sb at (0.0000, 0.5000, 0.5000) and Mo at (0.0000, 0.0000, 0.5000).

Its raw formation energy is 0.885 eV/atom.

=====

Record 3
Crystalline ScNiMo2 at its relaxed geometry, computed with PBE.

It has space group P4/mmm (No. 123), with a = 3.2211 Å, b = 3.2211 Å, c = 6.2941 Å, α = 90.00°, β = 90.00° and γ = 90.00°. The inequivalent atoms are Sc at (0.0000, 0.0000, 0.0000), Ni at (0.0000, 0.0000, 0.5000) and Mo at (0.5000, 0.5000, 0.3049).

As for the formation enthalpy at 0 K: 230 meV per atom. For the distance to the lowest polymorph of the same formula, the calculation gives 1.071 eV per formula unit.

=====

Record 4
Crystalline Sc2NiMo at its relaxed geometry, computed with PBE.

It has space group R-3m (No. 166, hexagonal axes), with a = 3.0510 Å, b = 3.0510 Å, c = 26.1394 Å, α = 90.00°, β = 90.00° and γ = 120.00°. The inequivalent atoms are Sc at (0.0000, 0.0000, 0.2433), Ni at (0.0000, 0.0000, 0.5000) and Mo at (0.0000, 0.0000, 0.0000).

As for the formation enthalpy at 0 K: 129 meV per atom.

=====

Record 5
Crystalline ScNiMo2 at its relaxed geometry, computed with PBE.

It has space group P4mm (No. 99), with a = 3.1999 Å, b = 3.1999 Å, c = 6.2065 Å, α = 90.00°, β = 90.00° and γ = 90.00°. The inequivalent atoms are Sc at (0.0000, 0.0000, 0.0000), Ni at (0.5000, 0.5000, 0.7536), Mo at (0.0000, 0.0000, 0.5085) and Mo at (0.5000, 0.5000, 0.2869).

As for the formation enthalpy at 0 K: -38 meV per atom. For the distance to the lowest polymorph of the same formula, the calculation gives 0.000 eV per formula unit.

=====

Record 6
Crystalline ScNiMo2 at its relaxed geometry, computed with PBE.

It has space group Pmmm (No. 47), with a = 3.3011 Å, b = 4.1147 Å, c = 4.6503 Å, α = 90.00°, β = 90.00° and γ = 90.00°. The inequivalent atoms are Sc at (0.0000, 0.0000, 0.0000), Ni at (0.5000, 0.5000, 0.0000), Mo at (0.0000, 0.5000, 0.5000) and Mo at (0.5000, 0.0000, 0.5000).

As for the formation enthalpy at 0 K: -3 meV per atom. For the distance to the lowest polymorph of the same formula, the calculation gives 0.141 eV per formula unit.

=====

Record 7
Crystalline Sc2Ni2Mo at its relaxed geometry, computed with PBE.

It has space group P4/mbm (No. 127), with a = 6.3381 Å, b = 6.3381 Å, c = 4.1155 Å, α = 90.00°, β = 90.00° and γ = 90.00°. The inequivalent atoms are Sc at (0.1767, 0.3233, 0.0000), Ni at (0.1312, 0.6312, 0.5000) and Mo at (0.0000, 0.0000, 0.5000).

As for the formation enthalpy at 0 K: -191 meV per atom.

=====

Record 8
Crystalline ScNiMo2 at its relaxed geometry, computed with PBE.

It has space group P4mm (No. 99), with a = 2.7257 Å, b = 2.7257 Å, c = 8.4440 Å, α = 90.00°, β = 90.00° and γ = 90.00°. The inequivalent atoms are Sc at (0.0000, 0.0000, 0.0000), Ni at (0.5000, 0.5000, 0.7634), Mo at (0.0000, 0.0000, 0.5561) and Mo at (0.5000, 0.5000, 0.2818).

As for the formation enthalpy at 0 K: 72 meV per atom. For the distance to the lowest polymorph of the same formula, the calculation gives 0.440 eV per formula unit.

=====

Record 9
Crystalline ScNi2Mo2 at its relaxed geometry, computed with PBE.

It has space group I4/mmm (No. 139), with a = 3.9016 Å, b = 3.9016 Å, c = 10.8354 Å, α = 90.00°, β = 90.00° and γ = 90.00°. The inequivalent atoms are Sc at (0.0000, 0.0000, 0.0000), Ni at (0.0000, 0.5000, 0.2500) and Mo at (0.0000, 0.0000, 0.3906).

As for the formation enthalpy at 0 K: 320 meV per atom. For the distance to the lowest polymorph of the same formula, the calculation gives 1.176 eV per formula unit.

=====

Record 10
Crystalline Sc2NiMo at its relaxed geometry, computed with PBE.

It has space group Cm (No. 8), with a = 10.3127 Å, b = 2.9754 Å, c = 4.9930 Å, α = 90.00°, β = 113.62° and γ = 90.00°. The inequivalent atoms are Sc at (0.0000, 0.0000, 0.0000), Sc at (0.2009, 0.0000, 0.6350), Ni at (0.4708, 0.0000, 0.5405) and Mo at (0.2728, 0.5000, 0.1817).

As for the formation enthalpy at 0 K: -79 meV per atom.

=====

Record 11
Crystalline ScNiMo2 at its relaxed geometry, computed with PBE.

It has space group R-3m (No. 166, hexagonal axes), with a = 2.8376 Å, b = 2.8376 Å, c = 27.5854 Å, α = 90.00°, β = 90.00° and γ = 120.00°. The inequivalent atoms are Sc at (0.0000, 0.0000, 0.0000), Ni at (0.0000, 0.0000, 0.5000) and Mo at (0.0000, 0.0000, 0.2423).

As for the formation enthalpy at 0 K: 365 meV per atom. For the distance to the lowest polymorph of the same formula, the calculation gives 1.612 eV per formula unit.

=====

Record 12
Crystalline ScNiMo2 at its relaxed geometry, computed with PBE.

It has space group Fm-3m (No. 225), with a = 6.2699 Å, b = 6.2699 Å, c = 6.2699 Å, α = 90.00°, β = 90.00° and γ = 90.00°. The inequivalent atoms are Sc at (0.0000, 0.0000, 0.0000), Ni at (0.0000, 0.0000, 0.5000) and Mo at (0.2500, 0.2500, 0.2500).

As for the formation enthalpy at 0 K: 406 meV per atom. For the distance to the lowest polymorph of the same formula, the calculation gives 1.777 eV per formula unit.

=====

| no. | density (kg/m³) |
| --- | --- |
| 1 | 7563 |
| 2 | 6195 |
| 3 | 7515 |
| 4 | 5781 |
| 5 | 7722 |
| 6 | 7769 |
| 7 | 6091 |
| 8 | 7823 |
| 9 | 7132 |
| 10 | 5785 |
| 11 | 7653 |
| 12 | 7964 |